The following is a PBE-GGA calculation of a geometry-optimized CeAlO3 structure, from Alexandria.

It has space group Pm-3m (No. 221), with a = 3.7851 Å, b = 3.7851 Å, c = 3.7851 Å, α = 90.00°, β = 90.00° and γ = 90.00°. The distinct sites, in fractional coordinates, are Ce at (0.0000, 0.0000, 0.0000), Al at (0.5000, 0.5000, 0.5000) and O at (0.0000, 0.5000, 0.5000).

The calculation puts the total energy at -8.0842 eV per atom. The magnetization is 1.00 μB per cell. Its energy relative to the elements, uncorrected is -1531 kJ/mol of formula units.